## 1
First-principles (GGA-PBE) data for Dy4GaNi after structural relaxation, as listed in Alexandria.

Calculated values
DOS at the Fermi energy: 14.1 states/eV/cell
Space group: No. 36
Volume: 26.81 A^3/atom

Unit cell a=10.348 b=10.348 c=6.360 alpha=90.00 beta=90.00 gamma=151.82
Sites, in units of the cell vectors:
Dy1 0.050 0.950 0.500
Dy2 0.195 0.805 0.253
Dy3 0.195 0.805 0.749
Dy4 0.402 0.598 0.502
Dy5 0.598 0.402 0.002
Dy6 0.805 0.195 0.249
Dy7 0.805 0.195 0.753
Dy8 0.950 0.050 0.000
Ga1 0.343 0.657 0.001
Ga2 0.657 0.343 0.501
Ni1 0.082 0.918 0.001
Ni2 0.918 0.082 0.501

## 2
First-principles (GGA-PBE) data for Dy4GaNi after structural relaxation, as listed in Alexandria.

Calculated values
DOS at the Fermi energy: 10.6 states/eV/cell
Space group: No. 11
Volume: 24.97 A^3/atom

Unit cell a=5.453 b=6.891 c=8.183 alpha=90.00 beta=103.00 gamma=90.00
Sites, in units of the cell vectors:
Dy1 0.144 0.250 0.071
Dy2 0.239 0.750 0.381
Dy3 0.316 0.505 0.766
Dy4 0.316 0.994 0.766
Dy5 0.684 0.006 0.234
Dy6 0.684 0.494 0.234
Dy7 0.761 0.250 0.619
Dy8 0.856 0.750 0.929
Ga1 0.208 0.250 0.437
Ga2 0.792 0.750 0.563
Ni1 0.340 0.750 0.055
Ni2 0.660 0.250 0.945

On energetic grounds, 2 is preferred over the next structure by 10.5 kJ/mol of atoms.